1.
PrMgScSn | PBE | relaxed

Summary:
- DOS at the Fermi energy (states/eV per atom) = 0.938
- energy (eV per cell) = -18.204
- DFT formation energy (meV/atom) = -374
- calculated volume (Å³/f.u.) = 103
- total moment (μB per formula unit) = 0.000

Lattice parameters (Å, degrees): 5.2596 5.2596 5.2596 60.00 60.00 60.00
Positions (direct):
Mg (0.7500, 0.7500, 0.7500)
Sc (0.5000, 0.5000, 0.5000)
Pr (0.0000, 0.0000, 0.0000)
Sn (0.2500, 0.2500, 0.2500)

***

2.
CsRbRh2Au | PBE | relaxed

Summary:
- DOS at the Fermi energy (states/eV per atom) = 1.493
- energy (eV per cell) = -15.883
- DFT formation energy (meV/atom) = 784
- calculated volume (Å³/f.u.) = 160
- total moment (μB per formula unit) = 0.910

Lattice parameters (Å, degrees): 5.1538 6.0133 5.1538 90.00 90.00 90.00
Last column: magnetic moment on the atom in μB.
Positions (direct):
Cs (0.5000, 0.5000, 0.5000)  -0.01
Rh (0.5000, 0.0000, 0.0000)  0.24
Rh (0.0000, 0.0000, 0.5000)  0.66
Rb (0.0000, 0.5000, 0.0000)  -0.01
Au (0.0000, 0.0000, 0.0000)  0.09

***

3.
La2Br2NCl | PBE | relaxed

Summary:
- energy (eV per cell) = -69.280
- calculated volume (Å³/f.u.) = 179
- total moment (μB per formula unit) = 0.000

Lattice parameters (Å, degrees): 4.1512 7.7000 11.1986 90.00 90.00 90.00
Positions (direct):
La (0.0000, 0.7315, 0.2672)
La (0.5000, 0.3670, 0.4351)
La (0.5000, 0.8670, 0.5649)
La (0.0000, 0.2315, 0.7328)
N (0.5000, 0.1711, 0.6139)
N (0.5000, 0.6711, 0.3861)
Br (0.5000, 0.3951, 0.8949)
Br (0.0000, 0.8517, 0.7728)
Br (0.5000, 0.8951, 0.1051)
Br (0.0000, 0.3517, 0.2272)
Cl (0.0000, 0.0293, 0.4182)
Cl (0.0000, 0.5293, 0.5818)

***

4.
SrSc2Ru | PBE | relaxed

Summary:
- DOS at the Fermi energy (states/eV per atom) = 0.769
- energy (eV per cell) = -21.919
- DFT formation energy (meV/atom) = 426
- calculated volume (Å³/f.u.) = 91
- total moment (μB per formula unit) = 0.000

Lattice parameters (Å, degrees): 5.6016 5.8673 3.2598 76.62 84.43 116.77
Positions (direct):
Sc (0.5000, 0.0000, 0.5000)
Sc (0.0000, 0.0000, 0.0000)
Ru (0.5000, 0.5000, 0.0000)
Sr (0.0000, 0.5000, 0.5000)

***

5.
ZnSi2PtF | PBE | relaxed

Summary:
- DOS at the Fermi energy (states/eV per atom) = 0.652
- energy (eV per cell) = -21.134
- calculated volume (Å³/f.u.) = 104
- total moment (μB per formula unit) = 0.000

Lattice parameters (Å, degrees): 4.5883 4.9396 4.5883 90.00 90.00 90.00
Positions (direct):
F (0.5000, 0.5000, 0.5000)
Pt (0.0000, 0.0000, 0.0000)
Si (0.0000, 0.0000, 0.5000)
Si (0.5000, 0.0000, 0.0000)
Zn (0.0000, 0.5000, 0.0000)

***

6.
Zn3SeS | PBE | relaxed

Summary:
- DOS at the Fermi energy (states/eV per atom) = 0.223
- energy (eV per cell) = -10.771
- calculated volume (Å³/f.u.) = 106
- total moment (μB per formula unit) = 0.000

Lattice parameters (Å, degrees): 4.7324 4.7324 4.7324 90.00 90.00 90.00
Positions (direct):
Se (0.5000, 0.5000, 0.5000)
Zn (0.5000, 0.0000, 0.0000)
Zn (0.0000, 0.0000, 0.5000)
Zn (0.0000, 0.5000, 0.0000)
S (0.0000, 0.0000, 0.0000)

***

7.
Zn2MoCl | PBE | relaxed

Summary:
- DOS at the Fermi energy (states/eV per atom) = 0.091
- energy (eV per cell) = -14.903
- calculated volume (Å³/f.u.) = 66
- total moment (μB per formula unit) = 0.000

Lattice parameters (Å, degrees): 8.3687 8.3687 8.3687 21.08 21.08 21.08
Positions (direct):
Mo (0.7500, 0.7500, 0.7500)
Zn (0.9996, 0.9996, 0.9996)
Zn (0.5004, 0.5004, 0.5004)
Cl (0.2500, 0.2500, 0.2500)

***

8.
TeIr | PBE | relaxed

Summary:
- DOS at the Fermi energy (states/eV per atom) = 0.409
- energy (eV per cell) = -23.528
- calculated volume (Å³/f.u.) = 40
- total moment (μB per formula unit) = 0.000

Lattice parameters (Å, degrees): 3.8109 4.1543 7.5451 42.41 90.00 90.00
Positions (direct):
Ir (0.2500, 0.6326, 0.6756)
Ir (0.7500, 0.3674, 0.3244)
Te (0.2500, 0.9466, 0.2138)
Te (0.7500, 0.0534, 0.7862)

***

- Which of these has the highest energy?
  Zn3SeS

***

- What is the energy in the second record?
  -15.883 eV per cell